No. 1
NdEuGaRh | the Alexandria database | PBE | relaxed; energy of formation = -465 meV/atom; calculated volume = 23.687 Å³ per atom; total moment = 6.88 Bohr magnetons per cell; density = 8.22 g cm⁻³; total energy = -27.3 eV per formula unit
1.0
5.117 0.000 0.000
2.559 4.432 0.000
2.559 1.477 4.178
Eu Rh Nd Ga
1 1 1 1
Direct
0.000 0.000 0.000 Eu
0.250 0.250 0.250 Rh
0.500 0.500 0.500 Nd
0.750 0.750 0.750 Ga

***

No. 2
NaGaPb | the Alexandria database | PBE | relaxed; energy of formation = -56 meV/atom; calculated volume = 26.317 Å³ per atom; total moment = 0.00 Bohr magnetons per cell; density = 6.31 g cm⁻³; total energy = -8.2 eV per formula unit
1.0
-3.227 1.287 -1.079
-1.545 -3.190 0.816
1.307 2.891 5.671
Pb Na Ga
1 1 1
Direct
0.681 0.681 0.362 Pb
0.989 0.989 0.978 Na
0.330 0.330 0.660 Ga

***

No. 3
Ba6Na2Ni | the Alexandria database | PBE | relaxed; energy of formation = -5 meV/atom; calculated volume = 53.267 Å³ per atom; total moment = 0.00 Bohr magnetons per cell; density = 3.22 g cm⁻³; total energy = -20.0 eV per formula unit
1.0
7.608 0.003 4.392
2.532 7.174 4.392
0.002 0.001 8.786
Ba Na Ni
6 2 1
Direct
0.255 0.255 0.744 Ba
0.255 0.745 0.255 Ba
0.745 0.255 0.745 Ba
0.745 0.255 0.255 Ba
0.255 0.745 0.745 Ba
0.745 0.745 0.256 Ba
0.250 0.250 0.250 Na
0.750 0.750 0.750 Na
0.500 0.500 0.500 Ni

***

No. 4
Cd2TcSe | the Alexandria database | PBE | relaxed; energy relative to the elements, uncorrected = 0.479 eV per atom; calculated volume = 19.416 Å³ per atom; total moment = 1.49 Bohr magnetons per cell; density = 8.59 g cm⁻³; total energy = -13.8 eV per formula unit
1.0
5.251 0.000 0.000
0.000 3.151 -0.004
0.000 0.045 4.694
Cd Se Tc
2 1 1
Direct
0.000 0.004 0.995 Cd
0.000 0.496 0.505 Cd
0.500 0.250 0.250 Se
0.500 0.750 0.750 Tc

***

No. 5
Sm6PPt2I3 | the Alexandria database | PBE | relaxed; energy relative to the elements, uncorrected = -1.144 eV per atom; calculated volume = 30.618 Å³ per atom; total moment = 0.00 Bohr magnetons per cell; density = 7.70 g cm⁻³; total energy = -64.2 eV per formula unit
1.0
7.385 0.009 0.004
-3.683 6.401 0.004
-1.231 -2.132 7.764
Sm P Pt I
6 1 2 3
Direct
0.937 0.597 0.813 Sm
0.722 0.722 0.187 Sm
0.063 0.403 0.187 Sm
0.597 0.937 0.813 Sm
0.278 0.278 0.813 Sm
0.403 0.063 0.187 Sm
0.000 0.000 0.000 P
0.333 0.667 0.000 Pt
0.667 0.333 0.000 Pt
0.163 0.837 0.500 I
0.837 0.163 0.500 I
0.500 0.500 0.500 I

***

No. 6
LaYScTe2 | the Alexandria database | PBE | relaxed; energy relative to the elements, uncorrected = 0.365 eV per atom; calculated volume = 41.168 Å³ per atom; total moment = 0.00 Bohr magnetons per cell; density = 4.26 g cm⁻³; total energy = -22.2 eV per formula unit
1.0
-1.281 -3.780 4.448
-3.426 -2.998 -3.535
4.632 -3.430 -1.580
Y Sc Te La
1 1 2 1
Direct
0.000 0.500 0.000 Y
0.500 0.500 0.500 Sc
0.000 0.000 0.500 Te
0.500 0.000 0.000 Te
0.000 0.000 0.000 La

***

| no. | density of states at the Fermi level (states/eV per atom) |
| --- | --- |
| 1 | 1.62 |
| 2 | 0.45 |
| 3 | 0.77 |
| 4 | 0.71 |
| 5 | 0.92 |
| 6 | 1.28 |